## P
# PBE Sm2InHg6, optimized geometry
data_Sm2InHg6
_cell_length_a 5.1356
_cell_length_b 5.1357
_cell_length_c 9.8300
_cell_angle_alpha 90.01
_cell_angle_beta 90.00
_cell_angle_gamma 120.00
_space_group_name_H-M_alt 'P 1'
_space_group_IT_number 1
loop_
_space_group_symop_operation_xyz
'x,y,z'
loop_
_atom_site_label
_atom_site_type_symbol
_atom_site_fract_x
_atom_site_fract_y
_atom_site_fract_z
_atom_site_occupancy
Sm1 Sm 0.3334 0.6667 0.7238 1
In1 In 0.0000 0.0000 0.5000 1
Hg1 Hg 0.0000 0.9999 0.1588 1
Hg2 Hg 0.3334 0.6667 0.0661 1
Hg3 Hg 0.3334 0.6667 0.3916 1
Hg4 Hg 0.0000 0.0001 0.8412 1
Hg5 Hg 0.6666 0.3333 0.6084 1
Hg6 Hg 0.6666 0.3333 0.9339 1
Sm2 Sm 0.6666 0.3333 0.2762 1
# * SG: No. 164

## Q
# PBE Sm2InHg6, optimized geometry
data_Sm2InHg6
_cell_length_a 5.8929
_cell_length_b 6.6894
_cell_length_c 6.6894
_cell_angle_alpha 60.13
_cell_angle_beta 90.23
_cell_angle_gamma 90.23
_space_group_name_H-M_alt 'P 1'
_space_group_IT_number 1
loop_
_space_group_symop_operation_xyz
'x,y,z'
loop_
_atom_site_label
_atom_site_type_symbol
_atom_site_fract_x
_atom_site_fract_y
_atom_site_fract_z
_atom_site_occupancy
Hg1 Hg 0.3209 0.8156 0.3683 1
Sm1 Sm 0.1864 0.3330 0.3330 1
Hg2 Hg 0.6791 0.6317 0.1844 1
Sm2 Sm 0.8136 0.6670 0.6670 1
Hg3 Hg 0.3209 0.3683 0.8156 1
Hg4 Hg 0.6803 0.1840 0.1840 1
Hg5 Hg 0.3197 0.8160 0.8160 1
Hg6 Hg 0.6791 0.1844 0.6317 1
In1 In 0.0000 0.0000 0.0000 1
# * SG: No. 12

Of them, Q has the lowest stability.

## P
# PBE Sm2InHg4, optimized geometry
data_Sm2InHg4
_cell_length_a 5.1668
_cell_length_b 5.1668
_cell_length_c 8.7748
_cell_angle_alpha 72.88
_cell_angle_beta 72.88
_cell_angle_gamma 60.00
_space_group_name_H-M_alt 'P 1'
_space_group_IT_number 1
loop_
_space_group_symop_operation_xyz
'x,y,z'
loop_
_atom_site_label
_atom_site_type_symbol
_atom_site_fract_x
_atom_site_fract_y
_atom_site_fract_z
_atom_site_occupancy
In1 In 0.0000 0.0000 0.0000 1
Sm1 Sm 0.2558 0.2558 0.2327 1
Sm2 Sm 0.7442 0.7442 0.7673 1
Hg1 Hg 0.3870 0.3870 0.8390 1
Hg2 Hg 0.6130 0.6130 0.1610 1
Hg3 Hg 0.1310 0.1310 0.6071 1
Hg4 Hg 0.8690 0.8690 0.3929 1
# * SG: No. 166

## Q
# PBE Sm2InHg4, optimized geometry
data_Sm2InHg4
_cell_length_a 5.4325
_cell_length_b 5.4325
_cell_length_c 8.6838
_cell_angle_alpha 108.23
_cell_angle_beta 108.23
_cell_angle_gamma 90.00
_space_group_name_H-M_alt 'P 1'
_space_group_IT_number 1
loop_
_space_group_symop_operation_xyz
'x,y,z'
loop_
_atom_site_label
_atom_site_type_symbol
_atom_site_fract_x
_atom_site_fract_y
_atom_site_fract_z
_atom_site_occupancy
Hg1 Hg 0.1917 0.1917 0.3834 1
Sm1 Sm 0.6133 0.6133 0.2266 1
Hg2 Hg 0.5000 0.0000 0.0000 1
Hg3 Hg 0.8083 0.8083 0.6166 1
Sm2 Sm 0.3867 0.3867 0.7734 1
Hg4 Hg 0.0000 0.5000 0.0000 1
In1 In 0.0000 0.0000 0.0000 1
# * SG: No. 139

Of them, Q has the lowest stability.

## P
# PBE Sm6InHg2, optimized geometry
data_Sm6InHg2
_cell_length_a 8.9630
_cell_length_b 8.9630
_cell_length_c 8.9630
_cell_angle_alpha 108.10
_cell_angle_beta 110.67
_cell_angle_gamma 109.66
_space_group_name_H-M_alt 'P 1'
_space_group_IT_number 1
loop_
_space_group_symop_operation_xyz
'x,y,z'
loop_
_atom_site_label
_atom_site_type_symbol
_atom_site_fract_x
_atom_site_fract_y
_atom_site_fract_z
_atom_site_occupancy
Sm1 Sm 0.1998 0.2494 0.4492 1
Sm2 Sm 0.1998 0.7506 0.9504 1
Sm3 Sm 0.5505 0.7299 0.8206 1
Hg1 Hg 0.3516 0.0000 0.3516 1
Hg2 Hg 0.5000 0.6374 0.1374 1
Sm4 Sm 0.2764 0.9521 0.6757 1
In1 In 0.0000 0.5000 0.5000 1
Hg3 Hg 0.5000 0.3626 0.8626 1
Sm5 Sm 0.4495 0.2701 0.1794 1
Sm6 Sm 0.9093 0.7299 0.1794 1
Sm7 Sm 0.0907 0.2701 0.8206 1
Sm8 Sm 0.2764 0.6007 0.3243 1
Sm9 Sm 0.8002 0.2494 0.0496 1
In2 In 0.0000 0.0000 0.0000 1
Sm10 Sm 0.7236 0.3993 0.6757 1
Sm11 Sm 0.7236 0.0479 0.3243 1
Hg4 Hg 0.6484 0.0000 0.6484 1
Sm12 Sm 0.8002 0.7506 0.5508 1
# * SG: No. 71

## Q
# PBE Sm6InHg2, optimized geometry
data_Sm6InHg2
_cell_length_a 5.2507
_cell_length_b 7.0095
_cell_length_c 8.2995
_cell_angle_alpha 83.20
_cell_angle_beta 71.56
_cell_angle_gamma 68.00
_space_group_name_H-M_alt 'P 1'
_space_group_IT_number 1
loop_
_space_group_symop_operation_xyz
'x,y,z'
loop_
_atom_site_label
_atom_site_type_symbol
_atom_site_fract_x
_atom_site_fract_y
_atom_site_fract_z
_atom_site_occupancy
Sm1 Sm 0.3418 0.8164 0.5000 1
In1 In 0.0000 0.5000 0.5000 1
Sm2 Sm 0.6794 0.8038 0.8374 1
Sm3 Sm 0.0168 0.8038 0.1626 1
Sm4 Sm 0.9832 0.1962 0.8374 1
Hg1 Hg 0.3383 0.5000 0.8235 1
Sm5 Sm 0.3206 0.1962 0.1626 1
Hg2 Hg 0.6617 0.5000 0.1765 1
Sm6 Sm 0.6582 0.1836 0.5000 1
# * SG: No. 69

Of them, P has the lowest stability.

## P
# PBE SmIn2Hg8, optimized geometry
data_SmIn2Hg8
_cell_length_a 4.6863
_cell_length_b 9.4292
_cell_length_c 8.1967
_cell_angle_alpha 54.89
_cell_angle_beta 89.88
_cell_angle_gamma 89.79
_space_group_name_H-M_alt 'P 1'
_space_group_IT_number 1
loop_
_space_group_symop_operation_xyz
'x,y,z'
loop_
_atom_site_label
_atom_site_type_symbol
_atom_site_fract_x
_atom_site_fract_y
_atom_site_fract_z
_atom_site_occupancy
Hg1 Hg 0.5000 0.2393 0.5214 1
Hg2 Hg 0.0005 0.6908 0.2662 1
In1 In 0.0000 0.3798 0.2403 1
Hg3 Hg 0.0005 0.9571 0.7338 1
Hg4 Hg 0.4998 0.6685 0.0000 1
Hg5 Hg 0.5002 0.3315 0.0000 1
Sm1 Sm 0.5000 0.0000 0.0000 1
Hg6 Hg 0.9995 0.3092 0.7338 1
In2 In 0.0000 0.6202 0.7597 1
Hg7 Hg 0.9995 0.0429 0.2662 1
Hg8 Hg 0.5000 0.7607 0.4786 1
# * SG: No. 12

## Q
# PBE SmIn2Hg8, optimized geometry
data_SmIn2Hg8
_cell_length_a 4.7767
_cell_length_b 7.4102
_cell_length_c 8.7260
_cell_angle_alpha 107.66
_cell_angle_beta 105.88
_cell_angle_gamma 90.00
_space_group_name_H-M_alt 'P 1'
_space_group_IT_number 1
loop_
_space_group_symop_operation_xyz
'x,y,z'
loop_
_atom_site_label
_atom_site_type_symbol
_atom_site_fract_x
_atom_site_fract_y
_atom_site_fract_z
_atom_site_occupancy
Hg1 Hg 0.3227 0.0940 0.6453 1
Hg2 Hg 0.1410 0.1864 0.2821 1
Hg3 Hg 0.5918 0.4597 0.1836 1
Hg4 Hg 0.0415 0.7332 0.0830 1
Sm1 Sm 0.5000 0.0000 0.0000 1
In1 In 0.2275 0.6460 0.4551 1
Hg5 Hg 0.8590 0.8136 0.7179 1
Hg6 Hg 0.4082 0.5403 0.8164 1
In2 In 0.7725 0.3540 0.5449 1
Hg7 Hg 0.6773 0.9060 0.3547 1
Hg8 Hg 0.9585 0.2668 0.9170 1
# * SG: No. 12

Of them, P has the lowest stability.

## P
# PBE Sm8InHg2, optimized geometry
data_Sm8InHg2
_cell_length_a 5.5482
_cell_length_b 8.6920
_cell_length_c 8.6920
_cell_angle_alpha 118.51
_cell_angle_beta 100.54
_cell_angle_gamma 100.54
_space_group_name_H-M_alt 'P 1'
_space_group_IT_number 1
loop_
_space_group_symop_operation_xyz
'x,y,z'
loop_
_atom_site_label
_atom_site_type_symbol
_atom_site_fract_x
_atom_site_fract_y
_atom_site_fract_z
_atom_site_occupancy
Sm1 Sm 0.5000 0.7751 0.2249 1
Sm2 Sm 0.0977 0.0896 0.3136 1
In1 In 0.5000 0.0000 0.0000 1
Hg1 Hg 0.0000 0.3083 0.6918 1
Sm3 Sm 0.9023 0.9104 0.6864 1
Sm4 Sm 0.0977 0.3136 0.0896 1
Sm5 Sm 0.9023 0.6864 0.9104 1
Sm6 Sm 0.6977 0.3993 0.3993 1
Sm7 Sm 0.5000 0.2249 0.7751 1
Sm8 Sm 0.3023 0.6007 0.6007 1
Hg2 Hg 0.0000 0.6918 0.3083 1
# * SG: No. 12

## Q
# PBE Sm8InHg2, optimized geometry
data_Sm8InHg2
_cell_length_a 5.4132
_cell_length_b 8.6879
_cell_length_c 8.7385
_cell_angle_alpha 119.15
_cell_angle_beta 108.04
_cell_angle_gamma 90.00
_space_group_name_H-M_alt 'P 1'
_space_group_IT_number 1
loop_
_space_group_symop_operation_xyz
'x,y,z'
loop_
_atom_site_label
_atom_site_type_symbol
_atom_site_fract_x
_atom_site_fract_y
_atom_site_fract_z
_atom_site_occupancy
Sm1 Sm 0.0688 0.7214 0.1376 1
Sm2 Sm 0.3187 0.0470 0.6374 1
Sm3 Sm 0.9312 0.2786 0.8624 1
Hg1 Hg 0.2237 0.6178 0.4475 1
Hg2 Hg 0.7763 0.3822 0.5525 1
In1 In 0.5000 0.0000 0.0000 1
Sm4 Sm 0.6813 0.9530 0.3626 1
Sm5 Sm 0.8602 0.8075 0.7205 1
Sm6 Sm 0.5935 0.4509 0.1869 1
Sm7 Sm 0.4065 0.5491 0.8131 1
Sm8 Sm 0.1398 0.1925 0.2795 1
# * SG: No. 12

Of them, P has the lowest stability.